No. 1
# Ca2InTcSb

A geometry-optimized Ca2InTcSb structure (PBE, Alexandria via LeMat-Bulk).

Cell and atoms, written as POSCAR:
```
Ca2InTcSb
1.0
5.8207 0.0000 0.0000
0.0000 4.9870 0.0000
0.0000 0.0000 5.8207
Ca Sb In Tc
2 1 1 1
direct
0.0000 0.0000 0.5000
0.5000 0.0000 0.0000
0.0000 0.0000 0.0000
0.5000 0.5000 0.5000
0.0000 0.5000 0.0000
```

Properties
**E**: -3.908 eV/atom



No. 2
# CaInSbTe2

A geometry-optimized CaInSbTe2 structure (PBE, Alexandria via LeMat-Bulk).

Cell and atoms, written as POSCAR:
```
CaInSbTe2
1.0
-1.9970 -5.1664 1.6228
5.0964 -2.0528 -0.2640
0.8536 1.4076 5.5320
Te Ca Sb In
2 1 1 1
direct
0.5000 0.0000 0.0000
0.0000 0.0000 0.5000
0.5000 0.5000 0.5000
0.0000 0.5000 0.0000
0.0000 0.0000 0.0000
```

Properties
**Energy above the lowest structure with this stoichiometry**: 0.000 eV/atom



no.,mass density (g/cm3)
1,4.08
2,4.82